# 1
Computed, not measured: a relaxed structure of Tc2W3 at the PBE level of DFT.

Computed properties:
As for the total energy: -11.706 eV/atom. The value obtained for the density of states at the Fermi level is 7.032 states/eV/cell. The density is 15.7 g/cm³. Its calculated formation energy is 1.06 eV/f.u. Its space group is Fddd (70).

Cell: 8.0470 7.1963 5.1925 Å, 79.21 61.46 39.34°
With the nearest neighbours (Å) after each atom.
Atoms (fractional coordinates):
Tc  0.0757  0.0757  0.6743  6 W 2.63-2.69
Tc  0.3257  0.3257  0.9243  6 W 2.63-2.69
Tc  0.6743  0.6743  0.0757  6 W 2.63-2.69
Tc  0.9243  0.9243  0.3257  6 W 2.63-2.69
W  0.1250  0.1250  0.1250  6 Tc 2.68-2.69, 4 W 2.98
W  0.2724  0.2724  0.4776  3 Tc 2.63-2.69, 3 W 2.66-2.75
W  0.4776  0.4776  0.2724  3 Tc 2.63-2.69, 3 W 2.66-2.75
W  0.5224  0.5224  0.7276  3 Tc 2.63-2.69, 3 W 2.66-2.75
W  0.7276  0.7276  0.5224  3 Tc 2.63-2.69, 3 W 2.66-2.75
W  0.8750  0.8750  0.8750  6 Tc 2.68-2.69, 4 W 2.98

# 2
Computed, not measured: a relaxed structure of Ca4InCl at the PBE level of DFT.

Computed properties:
As for the total energy: -2.106 eV/atom. The calculation puts the raw formation energy at -4.4 kJ/mol of formula units. The value obtained for the density of states at the Fermi level is 4.286 states/eV/cell. The density is 2.3 g/cm³. Its space group is F-43m (216).

Cell: 6.8174 6.8174 6.8174 Å, 60.00 60.00 60.00°
With the nearest neighbours (Å) after each atom.
Atoms (fractional coordinates):
Ca  0.3760  0.3760  0.3760  6 Ca 3.38-3.44
Ca  0.3760  0.3760  0.8720  6 Ca 3.38-3.44
Ca  0.3760  0.8720  0.3760  6 Ca 3.38-3.44
Ca  0.8720  0.3760  0.3760  6 Ca 3.38-3.44
In  0.7500  0.7500  0.7500  12 Ca 3.99, 4 Cl 4.17
Cl  0.0000  0.0000  0.0000  12 Ca 4.00, 4 In 4.17